No. 1
The following is a GGA-PBE calculation of Pr2Zn3Au after structural relaxation, from OQMD.

Unit cell a=5.8014 b=5.8014 c=7.3458 alpha=127.96 beta=127.96 gamma=46.83
Atoms (fractional coordinates):
Au  0.1645  0.1645  0.6997
Zn  0.1670  0.1670  0.1245
Pr  0.4718  0.4718  0.7201
Pr  0.5292  0.5292  0.2843
Zn  0.8411  0.8411  0.8896
Zn  0.8265  0.8265  0.2817

Values from the calculation:
Energy relative to the elements: -48 kJ per mole of atoms

---

No. 2
The following is a GGA-PBE calculation of Rb2TePtSe after structural relaxation, from OQMD.

Unit cell a=6.8737 b=6.8737 c=6.8737 alpha=146.66 beta=79.45 gamma=110.35
Atoms (fractional coordinates):
Pt  0.9873  0.9873  0.0000
Rb  0.3099  0.5097  0.8002
Te  0.2117  0.7117  0.5000
Rb  0.7095  0.5097  0.1998
Se  0.7816  0.2816  0.5000

Values from the calculation:
Calculated total energy: -3.7618 eV per atom

---

Number 1: volume 134 Å³ per cell. Number 2: volume 164 Å³ per cell.